Here is ZnHg3Ir after structural relaxation from Alexandria. Energies are from PBE.

a = 4.977 Å, b = 4.977 Å, c = 4.977 Å
α = 90.00°, β = 90.00°, γ = 90.00°
Fractional positions:
Zn  0.000  0.000  0.000
Hg  0.000  0.000  0.500
Hg  0.000  0.500  0.000
Hg  0.500  0.000  0.000
Ir  0.500  0.500  0.500

Computed properties:
- space-group type = Pm-3m (221)
- energy relative to the lowest polymorph listed for this composition (meV per atom) = 650
- ΔH_f (0 K) (eV/atom) = 1.105

***

Here is LiCo2BAs after structural relaxation from Alexandria. Energies are from PBE.

a = 2.695 Å, b = 7.548 Å, c = 7.548 Å
α = 22.80°, β = 90.00°, γ = 90.00°
Fractional positions:
Li  0.000  0.000  0.000
Co  0.000  0.225  0.225
Co  0.500  0.846  0.846
B  0.000  0.363  0.363
As  0.500  0.638  0.638

Computed properties:
- space-group type = Amm2 (38)
- energy relative to the lowest polymorph listed for this composition (meV per atom) = 181
- ΔH_f (0 K) (eV/atom) = -0.109

***

Here is CsCd2AsRu after structural relaxation from Alexandria. Energies are from PBE.

a = 5.445 Å, b = 5.445 Å, c = 4.708 Å
α = 90.00°, β = 90.00°, γ = 90.00°
Fractional positions:
Cs  0.000  0.000  0.000
Cd  0.000  0.500  0.500
Cd  0.500  0.000  0.500
As  0.500  0.500  0.000
Ru  0.500  0.500  0.500

Computed properties:
- space-group type = P4/mmm (123)
- ΔH_f (0 K) (eV/atom) = -0.069

***

| no. | DOS(E_F) (states/eV per cell) |
| --- | --- |
| 1 | 5.52 |
| 2 | 3.48 |
| 3 | 1.61 |